[1]
The following is a PBE-GGA calculation of TlMo3N2 after structural relaxation, from the Open Quantum Materials Database.

a b c (Å): 3.2706 3.2706 17.8203
angles (deg): 90.00 90.00 120.00
With the nearest neighbours (Å) after each atom.
Fractional positions:
N  0.3333  0.6667  0.0677  6 Mo 2.08-2.24
N  0.6667  0.3333  0.5677  6 Mo 2.08-2.24
N  0.6667  0.3333  0.9323  6 Mo 2.08-2.24
N  0.3333  0.6667  0.4323  6 Mo 2.08-2.24
Mo  0.3333  0.6667  0.8836  3 N 2.08
Mo  0.0000  0.0000  0.0000  6 N 2.24
Mo  0.0000  0.0000  0.5000  6 N 2.24
Mo  0.3333  0.6667  0.6164  3 N 2.08
Mo  0.6667  0.3333  0.1164  3 N 2.08
Mo  0.6667  0.3333  0.3836  3 N 2.08
Tl  0.0000  0.0000  0.2500  6 Mo 3.04, 6 Tl 3.27
Tl  0.0000  0.0000  0.7500  6 Mo 3.04, 6 Tl 3.27

Summary:
- energy (eV per atom) = -8.47
- space-group type = P6_3/mmc
- spin magnetization (μB/f.u.) = 0.02


[2]
The following is a PBE-GGA calculation of SmGaSiIr2 after structural relaxation, from the Open Quantum Materials Database.

a b c (Å): 4.1509 4.1509 10.3248
angles (deg): 90.00 90.00 90.00
With the nearest neighbours (Å) after each atom.
Fractional positions:
Ga  0.5000  0.5000  0.5000  4 Ir 2.57
Ga  0.0000  0.0000  0.5000  4 Ir 2.57
Sm  0.5000  0.0000  0.2484  8 Ir 3.13-3.30, 4 Si 3.20, 4 Ga 3.32
Sm  0.0000  0.5000  0.7516  8 Ir 3.13-3.30, 4 Si 3.20, 4 Ga 3.32
Si  0.5000  0.0000  0.8758  5 Ir 2.37-2.44
Si  0.0000  0.5000  0.1242  5 Ir 2.37-2.44
Ir  0.5000  0.5000  0.0000  4 Si 2.44
Ir  0.0000  0.5000  0.3538  1 Si 2.37, 4 Ga 2.57
Ir  0.0000  0.0000  0.0000  4 Si 2.44
Ir  0.5000  0.0000  0.6462  1 Si 2.37, 4 Ga 2.57

Summary:
- energy (eV per atom) = -7.12
- space-group type = P4/nmm
- relative energy among the computed polymorphs (meV per atom) = 0
- spin magnetization (μB/f.u.) = 0.01


[3]
The following is a PBE-GGA calculation of NbZnCu2 after structural relaxation, from the Open Quantum Materials Database.

a b c (Å): 4.2925 4.2925 4.2925
angles (deg): 60.00 60.00 60.00
With the nearest neighbours (Å) after each atom.
Fractional positions:
Cu  0.2500  0.2500  0.2500  4 Zn 2.63, 4 Cu 2.63
Cu  0.0000  0.0000  0.0000  4 Nb 2.63, 4 Cu 2.63
Nb  0.7500  0.7500  0.7500  4 Cu 2.63, 4 Zn 2.63
Zn  0.5000  0.5000  0.5000  4 Nb 2.63, 4 Cu 2.63

Summary:
- energy (eV per atom) = -4.60
- space-group type = F-43m
- ΔE_f (eV/atom) = 0.10
- spin magnetization (μB/f.u.) = 0.00


[4]
The following is a PBE-GGA calculation of CsPdWAu after structural relaxation, from the Open Quantum Materials Database.

a b c (Å): 5.1079 5.1079 5.1079
angles (deg): 60.00 60.00 60.00
With the nearest neighbours (Å) after each atom.
Fractional positions:
W  0.0000  0.0000  0.0000  4 Au 3.13, 4 Pd 3.13
Au  0.7500  0.7500  0.7500  4 Cs 3.13, 4 W 3.13
Cs  0.5000  0.5000  0.5000  4 Au 3.13, 4 Pd 3.13
Pd  0.2500  0.2500  0.2500  4 W 3.13, 4 Cs 3.13

Summary:
- energy (eV per atom) = -4.12
- space-group type = F-43m
- relative energy among the computed polymorphs (meV per atom) = 0
- spin magnetization (μB/f.u.) = 3.76


- What is the energy in the third record?
  -4.60 eV per atom


- Among the records above, which one has the highest energy?
  CsPdWAu


- Which formula does entry 3 have?
  NbZnCu2